Crystalline Pm4NdSb3 at its relaxed geometry. Source: Alexandria via LeMat-Bulk, functional GGA-PBE.

a b c (Å): 6.439 6.439 9.740
angles (deg): 111.25 111.25 41.95
Fractional positions:
Pm  0.132  0.132  0.415
Pm  0.349  0.349  0.159
Pm  0.651  0.651  0.841
Pm  0.868  0.868  0.585
Nd  0.000  0.000  0.000
Sb  0.325  0.325  0.797
Sb  0.500  0.500  0.500
Sb  0.675  0.675  0.203

Properties
mass density = 7.271 g cm⁻³
SG = C2/m, No. 12
total energy = -5.365 eV per atom
formation energy (no corrections) = -0.85 eV/atom

***

Crystalline CsMgO2F at its relaxed geometry. Source: Alexandria via LeMat-Bulk, functional GGA-PBE.

a b c (Å): 4.528 4.528 5.114
angles (deg): 90.00 90.00 90.00
Fractional positions:
Cs  0.000  0.000  0.000
Mg  0.500  0.500  0.500
O  0.000  0.500  0.000
O  0.500  0.000  0.000
F  0.000  0.000  0.500

Properties
mass density = 3.298 g cm⁻³
SG = P4/mmm, No. 123
total energy = -3.066 eV per atom
formation energy (no corrections) = -0.22 eV/atom